# 1
A plane-wave DFT calculation with PBE was carried out for an optimized crystal structure of LuGaB.

As for the polymorph energy (0 for the lowest one): 672 meV/atom.

The space group is F-43m (No. 216) and the conventional cell measures 5.912, 5.912 and 5.912 Å, with angles of 90.00, 90.00 and 90.00 degrees. The distinct sites, in fractional coordinates, are Lu at (0.000, 0.000, 0.000), Ga at (0.250, 0.250, 0.750) and B at (0.000, 0.000, 0.500).



# 2
A plane-wave DFT calculation with PBE was carried out for an optimized crystal structure of Lu4GaB3.

As for the final energy: -5.1055 eV per atom.

The space group is P6_3/mmc (No. 194) and the conventional cell measures 3.4735, 3.4735 and 29.1957 Å, with angles of 90.00, 90.00 and 120.00 degrees. The distinct sites, in fractional coordinates, are Lu at (0.0000, 0.0000, 0.1682), Lu at (0.3333, 0.6667, 0.0568), Ga at (0.3333, 0.6667, 0.2500), B at (0.0000, 0.0000, 0.0000) and B at (0.3333, 0.6667, 0.6159).



# 3
A plane-wave DFT calculation with PBE was carried out for an optimized crystal structure of LuGaB.

As for the polymorph energy (0 for the lowest one): 0 meV/atom.

The space group is F-43m (No. 216) and the conventional cell measures 5.743, 5.743 and 5.743 Å, with angles of 90.00, 90.00 and 90.00 degrees. The distinct sites, in fractional coordinates, are Lu at (0.000, 0.000, 0.000), Ga at (0.000, 0.000, 0.500) and B at (0.250, 0.250, 0.750).



# 4
A plane-wave DFT calculation with PBE was carried out for an optimized crystal structure of MgGaNiB.

As for the polymorph energy (0 for the lowest one): 16 meV/atom.

The space group is F-43m (No. 216) and the conventional cell measures 5.836, 5.836 and 5.836 Å, with angles of 90.00, 90.00 and 90.00 degrees. The distinct sites, in fractional coordinates, are Mg at (0.000, 0.000, 0.000), Ga at (0.000, 0.000, 0.500), Ni at (0.250, 0.250, 0.250) and B at (0.250, 0.250, 0.750).



# 5
A plane-wave DFT calculation with PBE was carried out for an optimized crystal structure of MgGaNiB.

As for the polymorph energy (0 for the lowest one): 162 meV/atom.

The space group is F-43m (No. 216) and the conventional cell measures 5.830, 5.830 and 5.830 Å, with angles of 90.00, 90.00 and 90.00 degrees. The distinct sites, in fractional coordinates, are Mg at (0.000, 0.000, 0.000), Ga at (0.250, 0.250, 0.750), Ni at (0.250, 0.250, 0.250) and B at (0.000, 0.000, 0.500).



# 6
A plane-wave DFT calculation with PBE was carried out for an optimized crystal structure of MgGaNiB.

As for the polymorph energy (0 for the lowest one): 0 meV/atom.

The space group is F-43m (No. 216) and the conventional cell measures 5.803, 5.803 and 5.803 Å, with angles of 90.00, 90.00 and 90.00 degrees. The distinct sites, in fractional coordinates, are Mg at (0.000, 0.000, 0.000), Ga at (0.250, 0.250, 0.750), Ni at (0.000, 0.000, 0.500) and B at (0.250, 0.250, 0.250).



# 7
A plane-wave DFT calculation with PBE was carried out for an optimized crystal structure of MgGaBPd.

As for the polymorph energy (0 for the lowest one): 0 meV/atom.

The space group is F-43m (No. 216) and the conventional cell measures 6.082, 6.082 and 6.082 Å, with angles of 90.00, 90.00 and 90.00 degrees. The distinct sites, in fractional coordinates, are Mg at (0.000, 0.000, 0.000), Ga at (0.000, 0.000, 0.500), B at (0.250, 0.250, 0.750) and Pd at (0.250, 0.250, 0.250).



# 8
A plane-wave DFT calculation with PBE was carried out for an optimized crystal structure of MgGaBPd.

As for the polymorph energy (0 for the lowest one): 29 meV/atom.

The space group is F-43m (No. 216) and the conventional cell measures 6.037, 6.037 and 6.037 Å, with angles of 90.00, 90.00 and 90.00 degrees. The distinct sites, in fractional coordinates, are Mg at (0.000, 0.000, 0.000), Ga at (0.250, 0.250, 0.750), B at (0.250, 0.250, 0.250) and Pd at (0.000, 0.000, 0.500).



# 9
A plane-wave DFT calculation with PBE was carried out for an optimized crystal structure of MgGaBPt.

As for the polymorph energy (0 for the lowest one): 0 meV/atom.

The space group is F-43m (No. 216) and the conventional cell measures 6.015, 6.015 and 6.015 Å, with angles of 90.00, 90.00 and 90.00 degrees. The distinct sites, in fractional coordinates, are Mg at (0.000, 0.000, 0.000), Ga at (0.250, 0.250, 0.750), B at (0.250, 0.250, 0.250) and Pt at (0.000, 0.000, 0.500).



# 10
A plane-wave DFT calculation with PBE was carried out for an optimized crystal structure of MgGaBPt.

As for the polymorph energy (0 for the lowest one): 46 meV/atom.

The space group is F-43m (No. 216) and the conventional cell measures 6.126, 6.126 and 6.126 Å, with angles of 90.00, 90.00 and 90.00 degrees. The distinct sites, in fractional coordinates, are Mg at (0.000, 0.000, 0.000), Ga at (0.000, 0.000, 0.500), B at (0.250, 0.250, 0.750) and Pt at (0.250, 0.250, 0.250).



# 11
A plane-wave DFT calculation with PBE was carried out for an optimized crystal structure of GaBMo.

As for the final energy: -5.8248 eV per atom.

The space group is F-43m (No. 216) and the conventional cell measures 5.653, 5.653 and 5.653 Å, with angles of 90.00, 90.00 and 90.00 degrees. The distinct sites, in fractional coordinates, are Ga at (0.000, 0.000, 0.000), B at (0.000, 0.000, 0.500) and Mo at (0.250, 0.250, 0.750).



# 12
A plane-wave DFT calculation with PBE was carried out for an optimized crystal structure of GaB4Mo.

As for the polymorph energy (0 for the lowest one): 0 meV/atom.

The space group is P6/mmm (No. 191) and the conventional cell measures 3.0081, 3.0081 and 7.3098 Å, with angles of 90.00, 90.00 and 120.00 degrees. The distinct sites, in fractional coordinates, are Ga at (0.0000, 0.0000, 0.0000), B at (0.3333, 0.6667, 0.2690) and Mo at (0.0000, 0.0000, 0.5000).